Entry from Alexandria via LeMat-Bulk: Sm8Dy2Th3 after structural relaxation (PBE-GGA).

density of states at the Fermi level = 1.59 states/eV per atom
electronic total energy = -0.190 Ha/atom
total moment = 0.00 Bohr magnetons per cell
energy of formation from the pure elements = 0.165 eV per atom

a = 8.0357 Å, b = 5.1774 Å, c = 11.0528 Å
α = 90.00°, β = 100.65°, γ = 90.00°
With the nearest neighbours (Å) after each atom.
Space group P2/m (No. 10)
Inequivalent atoms, fractional coordinates:
Sm 0.0633 0.0000 0.3586  1 Dy 3.42, 6 Sm 3.46-3.69, 5 Th 3.57-3.63
Sm 0.1050 0.5000 0.8692  4 Dy 3.46-3.62, 6 Sm 3.57-3.73, 1 Th 3.58
Sm 0.3498 0.5000 0.2837  2 Dy 3.52, 4 Th 3.52-3.58, 5 Sm 3.61-3.73
Sm 0.3696 0.0000 0.7874  3 Th 3.52-3.58, 5 Sm 3.55-3.61, 2 Dy 3.58-3.78
Dy 0.1890 0.0000 0.0796  1 Dy 3.22, 6 Sm 3.42-3.58
Th 0.2204 0.5000 0.5712  9 Sm 3.52-3.63, 3 Th 3.60-3.61
Th 0.5000 0.0000 0.5000  8 Sm 3.52-3.58, 4 Th 3.61



Entry from Alexandria via LeMat-Bulk: LaSb2W after structural relaxation (PBE-GGA).

density of states at the Fermi level = 1.04 states/eV per atom
electronic total energy = -0.244 Ha/atom
total moment = 0.21 Bohr magnetons per cell
raw formation energy = -95 meV/atom
offset from the most stable computed form = 0.065 eV/atom

a = 8.0401 Å, b = 3.9286 Å, c = 6.8953 Å
α = 90.00°, β = 106.28°, γ = 90.00°
With the nearest neighbours (Å) after each atom.
Space group C2/m (No. 12)
Inequivalent atoms, fractional coordinates:
La 0.0000 0.0000 0.0000  6 Sb 3.20-3.21
Sb 0.2360 0.0000 0.6952  3 W 2.80-2.81
W 0.0000 0.5000 0.5000  6 Sb 2.80-2.81